ThS2O8: relaxed, GGA-PBEsol.

E, eV/cell: -658.99
Formation energy (no corrections), eV per atom: -2.137
Crystal system: orthorhombic
Volume, Å³/atom: 13.67
M_tot, μB per formula unit: 0.0

Geometry as CIF:
```
data_ThS2O8
_chemical_formula_sum 'Th8 S16 O64'
_symmetry_space_group_name_H-M 'P 1'
_symmetry_Int_Tables_number 1
_symmetry_space_group_name_Hall 'P 1'
_cell_length_a 9.185
_cell_length_b 13.696
_cell_length_c 9.561
_cell_angle_alpha 90.00
_cell_angle_beta 90.00
_cell_angle_gamma 90.00
loop_
_atom_site_label
_atom_site_fract_x
_atom_site_fract_y
_atom_site_fract_z
_atom_site_occupancy
Th1 0.219 0.104 0.034 1
Th2 0.219 0.396 0.534 1
Th3 0.281 0.604 0.034 1
Th4 0.281 0.896 0.534 1
Th5 0.719 0.104 0.466 1
Th6 0.719 0.396 0.966 1
Th7 0.781 0.604 0.466 1
Th8 0.781 0.896 0.966 1
S1 0.004 0.057 0.722 1
S2 0.004 0.443 0.222 1
S3 0.175 0.657 0.396 1
S4 0.175 0.843 0.896 1
S5 0.325 0.157 0.396 1
S6 0.325 0.343 0.896 1
S7 0.496 0.557 0.722 1
S8 0.496 0.943 0.222 1
S9 0.504 0.057 0.778 1
S10 0.504 0.443 0.278 1
S11 0.675 0.657 0.104 1
S12 0.675 0.843 0.604 1
S13 0.825 0.157 0.104 1
S14 0.825 0.343 0.604 1
S15 0.996 0.557 0.778 1
S16 0.996 0.943 0.278 1
O1 0.016 0.668 0.415 1
O2 0.016 0.832 0.915 1
O3 0.082 0.618 0.875 1
O4 0.082 0.882 0.375 1
O5 0.087 0.515 0.140 1
O6 0.087 0.985 0.640 1
O7 0.097 0.504 0.683 1
O8 0.097 0.996 0.183 1
O9 0.101 0.119 0.807 1
O10 0.101 0.381 0.307 1
O11 0.216 0.679 0.249 1
O12 0.216 0.821 0.749 1
O13 0.219 0.556 0.429 1
O14 0.219 0.944 0.929 1
O15 0.249 0.226 0.489 1
O16 0.249 0.274 0.989 1
O17 0.251 0.726 0.489 1
O18 0.251 0.774 0.989 1
O19 0.281 0.056 0.429 1
O20 0.281 0.444 0.929 1
O21 0.284 0.179 0.249 1
O22 0.284 0.321 0.749 1
O23 0.399 0.619 0.807 1
O24 0.399 0.881 0.307 1
O25 0.403 0.004 0.683 1
O26 0.403 0.496 0.183 1
O27 0.413 0.015 0.140 1
O28 0.413 0.485 0.640 1
O29 0.418 0.118 0.875 1
O30 0.418 0.382 0.375 1
O31 0.484 0.168 0.415 1
O32 0.484 0.332 0.915 1
O33 0.516 0.668 0.085 1
O34 0.516 0.832 0.585 1
O35 0.582 0.618 0.625 1
O36 0.582 0.882 0.125 1
O37 0.587 0.515 0.360 1
O38 0.587 0.985 0.860 1
O39 0.597 0.504 0.817 1
O40 0.597 0.996 0.317 1
O41 0.601 0.119 0.693 1
O42 0.601 0.381 0.193 1
O43 0.716 0.679 0.251 1
O44 0.716 0.821 0.751 1
O45 0.719 0.556 0.071 1
O46 0.719 0.944 0.571 1
O47 0.749 0.226 0.011 1
O48 0.749 0.274 0.511 1
O49 0.751 0.726 0.011 1
O50 0.751 0.774 0.511 1
O51 0.781 0.056 0.071 1
O52 0.781 0.444 0.571 1
O53 0.784 0.179 0.251 1
O54 0.784 0.321 0.751 1
O55 0.899 0.619 0.693 1
O56 0.899 0.881 0.193 1
O57 0.903 0.004 0.817 1
O58 0.903 0.496 0.317 1
O59 0.913 0.015 0.360 1
O60 0.913 0.485 0.860 1
O61 0.918 0.118 0.625 1
O62 0.918 0.382 0.125 1
O63 0.984 0.168 0.085 1
O64 0.984 0.332 0.585 1
```

Ti2SO: relaxed, GGA-PBEsol.

E, eV/cell: -65.81
Formation energy (no corrections), eV per atom: -1.656
Crystal system: tetragonal
Volume, Å³/atom: 15.12
M_tot, μB per formula unit: 0.0

Geometry as CIF:
```
data_Ti2SO
_chemical_formula_sum 'Ti4 S2 O2'
_symmetry_space_group_name_H-M 'P 1'
_symmetry_Int_Tables_number 1
_symmetry_space_group_name_Hall 'P 1'
_cell_length_a 6.122
_cell_length_b 6.122
_cell_length_c 6.122
_cell_angle_alpha 132.87
_cell_angle_beta 132.87
_cell_angle_gamma 68.85
loop_
_atom_site_label
_atom_site_fract_x
_atom_site_fract_y
_atom_site_fract_z
_atom_site_occupancy
Ti1 0.057 0.625 0.932 1
Ti2 0.375 0.307 0.432 1
Ti3 0.693 0.125 0.068 1
Ti4 0.875 0.943 0.568 1
S1 0.250 0.750 0.500 1
S2 0.500 0.500 0.000 1
O1 0.000 0.000 0.000 1
O2 0.750 0.250 0.500 1
```